# SrIn2Sn2

SrIn2Sn2 after structural relaxation (PBE-GGA, Alexandria via LeMat-Bulk).

The structure belongs to space group R-3m (No. 166, hexagonal axes); the cell edges are 5.2367, 5.2367 and 19.0755 Å and the angles 90.00°, 90.00° and 120.00°. The inequivalent atoms are Sr at (0.0000, 0.0000, 0.0000), In at (0.0000, 0.0000, 0.2105) and Sn at (0.0000, 0.0000, 0.4238).

The value obtained for the total energy is -0.242 Ry/atom. Its total magnetization is 0.0000 μB per atom. The formation energy is -0.258 eV per atom.